{
  "formula": "ScTlRe2",
  "functional": "SCAN",
  "state": "PBEsol geometry",
  "lattice_angstrom": [[3.877, 0.000, 0.000], [0.000, 4.476, 0.000], [-1.939, -2.238, 4.071]],
  "species": ["Tl", "Re", "Re", "Sc"],
  "fractional_positions": [[0.263, 0.263, 0.526], [0.718, 0.718, 0.435], [0.026, 0.526, 0.052], [0.493, 0.993, 0.987]],
  "de_polymorph_kj_per_mol_fu": 0
}


{
  "formula": "ScTl2Re",
  "functional": "SCAN",
  "state": "PBEsol geometry",
  "lattice_angstrom": [[3.146, 0.000, -0.005], [0.000, 4.471, 0.000], [-1.459, 0.000, 5.707]],
  "species": ["Re", "Sc", "Tl", "Tl"],
  "fractional_positions": [[0.019, 0.000, 0.501], [0.439, 0.500, 0.739], [0.521, 0.500, 0.275], [0.021, 0.000, 0.985]],
  "de_polymorph_kj_per_mol_fu": 61
}


{
  "formula": "ScTlRe2",
  "functional": "SCAN",
  "state": "PBEsol geometry",
  "lattice_angstrom": [[3.908, 0.000, 0.000], [0.000, 3.908, 0.000], [-1.954, -1.954, 4.495]],
  "species": ["Re", "Re", "Sc", "Tl"],
  "fractional_positions": [[0.250, 0.750, 0.500], [0.750, 0.250, 0.500], [0.500, 0.500, 0.000], [0.000, 0.000, 0.000]],
  "de_polymorph_kj_per_mol_fu": 95
}


{
  "formula": "ScTl2Re",
  "functional": "SCAN",
  "state": "PBEsol geometry",
  "lattice_angstrom": [[-1.974, 1.871, 2.095], [-3.819, -1.292, -2.444], [2.331, -4.197, 3.132]],
  "species": ["Tl", "Tl", "Re", "Sc"],
  "fractional_positions": [[0.770, 0.270, 0.539], [0.999, 0.999, 0.998], [0.511, 0.511, 0.021], [0.221, 0.721, 0.442]],
  "de_polymorph_kj_per_mol_fu": 30
}


{
  "formula": "ScTlRe2",
  "functional": "SCAN",
  "state": "PBEsol geometry",
  "lattice_angstrom": [[-2.293, 1.694, -0.590], [-1.949, 0.589, 2.082], [3.614, 8.449, 3.028]],
  "species": ["Tl", "Re", "Re", "Sc"],
  "fractional_positions": [[0.000, 0.000, 0.000], [0.753, 0.753, 0.740], [0.247, 0.247, 0.260], [0.500, 0.500, 0.500]],
  "de_polymorph_kj_per_mol_fu": 182
}


{
  "formula": "ScTl2Re",
  "functional": "SCAN",
  "state": "PBEsol geometry",
  "lattice_angstrom": [[4.339, 0.000, 0.000], [0.000, 4.339, 0.000], [-2.170, -2.170, 4.072]],
  "species": ["Tl", "Tl", "Sc", "Re"],
  "fractional_positions": [[0.250, 0.750, 0.500], [0.750, 0.250, 0.500], [0.000, 0.000, 0.000], [0.500, 0.500, 0.000]],
  "de_polymorph_kj_per_mol_fu": 0
}


Results for D(E_F): 1.51; 2.90; 3.91; 2.31; 4.00; 1.67 (in states/eV/cell, following the order of the records).
Results for uncorrected energy: -56.94; -57.03; -56.69; -57.11; -56.47; -57.18 (in eV per atom, following the order of the records).
Results for formation energy from the elements: 0.257; 0.487; 0.504; 0.408; 0.729; 0.329 (in eV/atom, following the order of the records).